No. 1
The following is a GGA-PBE calculation of a geometry-optimized Ba3Lu2B6O15 structure, from the Open Quantum Materials Database.

Values from the calculation:
space group: Ia-3 (206)
raw total energy: -7.879 eV/atom
mass density: 5.0 Mg/m³

Cell lengths 12.2331, 12.2331, 12.2331 Å; angles 109.47, 109.47, 109.47 degrees
Last column: nearest neighbours and their distance in Å.
Fractional coordinates of all 104 atoms:
Lu 0.5000 0.0000 0.5000  6 O 2.21
Lu 0.5000 0.5000 0.5000  6 O 2.19
Lu 0.0000 0.5000 0.5000  6 O 2.21
Lu 0.0000 0.0000 0.5000  6 O 2.19
Lu 0.0000 0.5000 0.0000  6 O 2.19
Lu 0.5000 0.0000 0.0000  6 O 2.19
Lu 0.5000 0.5000 0.0000  6 O 2.21
Lu 0.0000 0.0000 0.0000  6 O 2.21
O 0.0093 0.8914 0.8213  1 B 1.37
O 0.2500 0.9121 0.6621  2 B 1.41
O 0.8914 0.8213 0.0093  1 B 1.37
O 0.1881 0.6787 0.5701  1 B 1.37
O 0.6881 0.1179 0.5093  1 B 1.37
O 0.1662 0.1945 0.6715  1 B 1.36
O 0.1086 0.1787 0.9907  1 B 1.37
O 0.3055 0.4717 0.4770  1 B 1.36
O 0.1787 0.9907 0.1086  1 B 1.37
O 0.2500 0.4121 0.1621  2 B 1.41
O 0.3338 0.0053 0.0283  1 B 1.36
O 0.6179 0.9299 0.6086  1 B 1.37
O 0.6621 0.2500 0.9121  2 B 1.41
O 0.3119 0.8821 0.4907  1 B 1.37
O 0.1179 0.5093 0.6881  1 B 1.37
O 0.4717 0.4770 0.3055  1 B 1.36
O 0.6662 0.9947 0.9717  1 B 1.36
O 0.9717 0.6662 0.9947  1 B 1.36
O 0.4947 0.8285 0.0230  1 B 1.36
O 0.9770 0.5053 0.1715  1 B 1.36
O 0.7500 0.0879 0.3379  2 B 1.41
O 0.0053 0.0283 0.3338  1 B 1.36
O 0.8338 0.8055 0.3285  1 B 1.36
O 0.3285 0.8338 0.8055  1 B 1.36
O 0.3213 0.4299 0.8119  1 B 1.37
O 0.0283 0.3338 0.0053  1 B 1.36
O 0.6715 0.1662 0.1945  1 B 1.36
O 0.8821 0.4907 0.3119  1 B 1.37
O 0.4907 0.3119 0.8821  1 B 1.37
O 0.5701 0.1881 0.6787  1 B 1.37
O 0.1945 0.6715 0.1662  1 B 1.36
O 0.8379 0.7500 0.5879  2 B 1.41
O 0.9121 0.6621 0.2500  2 B 1.41
O 0.5879 0.8379 0.7500  2 B 1.41
O 0.3379 0.7500 0.0879  2 B 1.41
O 0.0230 0.4947 0.8285  1 B 1.36
O 0.6086 0.6179 0.9299  1 B 1.37
O 0.5053 0.1715 0.9770  1 B 1.36
O 0.9947 0.9717 0.6662  1 B 1.36
O 0.4299 0.8119 0.3213  1 B 1.37
O 0.1621 0.2500 0.4121  2 B 1.41
O 0.5230 0.6945 0.5283  1 B 1.36
O 0.5093 0.6881 0.1179  1 B 1.37
O 0.9907 0.1086 0.1787  1 B 1.37
O 0.6787 0.5701 0.1881  1 B 1.37
O 0.7500 0.5879 0.8379  2 B 1.41
O 0.8055 0.3285 0.8338  1 B 1.36
O 0.4121 0.1621 0.2500  2 B 1.41
O 0.6945 0.5283 0.5230  1 B 1.36
O 0.4770 0.3055 0.4717  1 B 1.36
O 0.8119 0.3213 0.4299  1 B 1.37
O 0.5283 0.5230 0.6945  1 B 1.36
O 0.1715 0.9770 0.5053  1 B 1.36
O 0.8213 0.0093 0.8914  1 B 1.37
O 0.8285 0.0230 0.4947  1 B 1.36
O 0.3914 0.3821 0.0701  1 B 1.37
O 0.9299 0.6086 0.6179  1 B 1.37
O 0.0879 0.3379 0.7500  2 B 1.41
O 0.0701 0.3914 0.3821  1 B 1.37
O 0.3821 0.0701 0.3914  1 B 1.37
B 0.5490 0.2438 0.9216  3 O 1.36-1.41
B 0.3221 0.7438 0.1948  3 O 1.36-1.41
B 0.9510 0.8726 0.6948  3 O 1.36-1.41
B 0.8726 0.6948 0.9510  3 O 1.36-1.41
B 0.9216 0.5490 0.2438  3 O 1.36-1.41
B 0.6274 0.5784 0.8221  3 O 1.36-1.41
B 0.7562 0.0784 0.4510  3 O 1.36-1.41
B 0.3726 0.4216 0.1779  3 O 1.36-1.41
B 0.8221 0.6274 0.5784  3 O 1.36-1.41
B 0.1274 0.3052 0.0490  3 O 1.36-1.41
B 0.8052 0.6779 0.2562  3 O 1.36-1.41
B 0.4216 0.1779 0.3726  3 O 1.36-1.41
B 0.4510 0.7562 0.0784  3 O 1.36-1.41
B 0.6948 0.9510 0.8726  3 O 1.36-1.41
B 0.2438 0.9216 0.5490  3 O 1.36-1.41
B 0.0490 0.1274 0.3052  3 O 1.36-1.41
B 0.2562 0.8052 0.6779  3 O 1.36-1.41
B 0.1948 0.3221 0.7438  3 O 1.36-1.41
B 0.0784 0.4510 0.7562  3 O 1.36-1.41
B 0.3052 0.0490 0.1274  3 O 1.36-1.41
B 0.5784 0.8221 0.6274  3 O 1.36-1.41
B 0.6779 0.2562 0.8052  3 O 1.36-1.41
B 0.1779 0.3726 0.4216  3 O 1.36-1.41
B 0.7438 0.1948 0.3221  3 O 1.36-1.41
Ba 0.6200 0.3700 0.2500  9 O 2.70-3.01
Ba 0.8800 0.1300 0.7500  9 O 2.70-3.01
Ba 0.3700 0.2500 0.6200  9 O 2.70-3.01
Ba 0.6300 0.7500 0.3800  9 O 2.70-3.01
Ba 0.2500 0.1200 0.8700  9 O 2.70-3.01
Ba 0.3800 0.6300 0.7500  9 O 2.70-3.01
Ba 0.2500 0.6200 0.3700  9 O 2.70-3.01
Ba 0.8700 0.2500 0.1200  9 O 2.70-3.01
Ba 0.7500 0.8800 0.1300  9 O 2.70-3.01
Ba 0.1300 0.7500 0.8800  9 O 2.70-3.01
Ba 0.7500 0.3800 0.6300  9 O 2.70-3.01
Ba 0.1200 0.8700 0.2500  9 O 2.70-3.01

---

No. 2
The following is a GGA-PBE calculation of a geometry-optimized BaNiB4 structure, from the Open Quantum Materials Database.

Values from the calculation:
space group: Immm (71)
distance to the lowest polymorph of the same formula: 353.8 meV/atom
mass density: 5.3 Mg/m³

Cell lengths 5.5631, 5.5631, 5.5631 Å; angles 149.37, 119.83, 69.02 degrees
Last column: nearest neighbours and their distance in Å.
Fractional coordinates of all 6 atoms:
Ni 0.5000 0.5000 0.0000  8 B 2.75, 2 Ni 2.94
B 0.4152 0.7634 0.6518  3 B 1.69-1.85
B 0.5848 0.2366 0.3482  3 B 1.69-1.85
B 0.1116 0.7634 0.3482  3 B 1.69-1.85
B 0.8884 0.2366 0.6518  3 B 1.69-1.85
Ba 0.0000 0.0000 0.0000  12 B 2.91-2.95, 2 Ba 2.94, 4 Ni 3.15

---

No. 3
The following is a GGA-PBE calculation of a geometry-optimized BaNi2B2 structure, from the Open Quantum Materials Database.

Values from the calculation:
space group: Pnnm (58)
raw total energy: -5.120 eV/atom
mass density: 6.1 Mg/m³

Cell lengths 11.3056, 8.2520, 3.2360 Å; angles 90.00, 90.00, 90.00 degrees
Last column: nearest neighbours and their distance in Å.
Fractional coordinates of all 20 atoms:
B 0.1821 0.6757 0.0000  1 B 1.78
B 0.5703 0.9758 0.5000  2 B 1.64-1.78
B 0.9297 0.4758 0.0000  2 B 1.64-1.78
B 0.4297 0.0242 0.5000  2 B 1.64-1.78
B 0.8179 0.3243 0.0000  1 B 1.78
B 0.6821 0.8243 0.5000  1 B 1.78
B 0.3179 0.1757 0.5000  1 B 1.78
B 0.0703 0.5242 0.0000  2 B 1.64-1.78
Ni 0.2058 0.8261 0.5000  2 B 2.06
Ni 0.6795 0.9745 0.0000  4 B 2.04
Ni 0.7942 0.1739 0.5000  2 B 2.06
Ni 0.7058 0.6739 0.0000  2 B 2.06
Ni 0.8205 0.4745 0.5000  4 B 2.04
Ni 0.1795 0.5255 0.5000  4 B 2.04
Ni 0.2942 0.3261 0.0000  2 B 2.06
Ni 0.3205 0.0255 0.0000  4 B 2.04
Ba 0.9372 0.8197 0.0000  3 B 2.84-3.01, 1 Ni 2.88
Ba 0.0628 0.1803 0.0000  3 B 2.84-3.01, 1 Ni 2.88
Ba 0.5628 0.3197 0.5000  3 B 2.84-3.01, 1 Ni 2.88
Ba 0.4372 0.6803 0.5000  3 B 2.84-3.01, 1 Ni 2.88

---

No. 4
The following is a GGA-PBE calculation of a geometry-optimized BaNiB2 structure, from the Open Quantum Materials Database.

Values from the calculation:
space group: F-43m (216)
raw total energy: -3.577 eV/atom
mass density: 5.5 Mg/m³

Cell lengths 4.5389, 4.5389, 4.5389 Å; angles 60.00, 60.00, 60.00 degrees
Last column: nearest neighbours and their distance in Å.
Fractional coordinates of all 4 atoms:
Ni 0.7500 0.7500 0.7500  4 Ba 2.78, 4 B 2.78
B 0.2500 0.2500 0.2500  4 Ba 2.78, 4 B 2.78
B 0.0000 0.0000 0.0000  4 Ni 2.78, 4 B 2.78
Ba 0.5000 0.5000 0.5000  4 Ni 2.78, 4 B 2.78

---

No. 5
The following is a GGA-PBE calculation of a geometry-optimized Ba2NiB structure, from the Open Quantum Materials Database.

Values from the calculation:
space group: F-43m (216)
raw total energy: -2.928 eV/atom
mass density: 5.9 Mg/m³

Cell lengths 5.1483, 5.1483, 5.1483 Å; angles 60.00, 60.00, 60.00 degrees
Last column: nearest neighbours and their distance in Å.
Fractional coordinates of all 4 atoms:
Ba 0.5000 0.5000 0.5000  4 Ba 3.15, 4 B 3.15
Ba 0.7500 0.7500 0.7500  4 Ba 3.15, 4 Ni 3.15
B 0.2500 0.2500 0.2500  4 Ba 3.15, 4 Ni 3.15
Ni 0.0000 0.0000 0.0000  4 Ba 3.15, 4 B 3.15

---

No. 6
The following is a GGA-PBE calculation of a geometry-optimized Ba2Ni9B6 structure, from the Open Quantum Materials Database.

Values from the calculation:
space group: R-3c (167)
raw total energy: -5.825 eV/atom
mass density: 6.8 Mg/m³

Cell lengths 7.5590, 7.5590, 7.5590 Å; angles 96.60, 83.40, 96.60 degrees
Last column: nearest neighbours and their distance in Å.
Fractional coordinates of all 34 atoms:
B 0.6526 0.6880 0.9653  1 B 1.74
B 0.6880 0.9653 0.3474  1 B 1.74
B 0.4653 0.1880 0.1526  1 B 1.74
B 0.3474 0.3120 0.0347  1 B 1.74
B 0.0347 0.6526 0.6880  1 B 1.74
B 0.1880 0.1526 0.5347  1 B 1.74
B 0.5347 0.8120 0.8474  1 B 1.74
B 0.8474 0.4653 0.1880  1 B 1.74
B 0.3120 0.0347 0.6526  1 B 1.74
B 0.8120 0.8474 0.4653  1 B 1.74
B 0.1526 0.5347 0.8120  1 B 1.74
B 0.9653 0.3474 0.3120  1 B 1.74
Ba 0.8774 0.1226 0.8774  12 Ni 2.98-3.33, 3 B 3.30
Ba 0.3774 0.6226 0.3774  12 Ni 2.98-3.33, 3 B 3.30
Ba 0.1226 0.8774 0.1226  12 Ni 2.98-3.33, 3 B 3.30
Ba 0.6226 0.3774 0.6226  12 Ni 2.98-3.33, 3 B 3.30
Ni 0.4243 0.0677 0.3914  4 B 2.09-2.20
Ni 0.4323 0.0757 0.8914  4 B 2.09-2.20
Ni 0.2844 0.7844 0.7500  4 B 2.09-2.11
Ni 0.9323 0.6086 0.4243  4 B 2.09-2.20
Ni 0.7500 0.7156 0.2156  4 B 2.09-2.11
Ni 0.7844 0.7500 0.7156  4 B 2.09-2.11
Ni 0.9243 0.1086 0.4323  4 B 2.09-2.20
Ni 0.2500 0.2844 0.7844  4 B 2.09-2.11
Ni 0.1086 0.4323 0.0757  4 B 2.09-2.20
Ni 0.6086 0.4243 0.0677  4 B 2.09-2.20
Ni 0.3914 0.5757 0.9323  4 B 2.09-2.20
Ni 0.7156 0.2156 0.2500  4 B 2.09-2.11
Ni 0.5757 0.9323 0.6086  4 B 2.09-2.20
Ni 0.0677 0.3914 0.5757  4 B 2.09-2.20
Ni 0.8914 0.5677 0.9243  4 B 2.09-2.20
Ni 0.0757 0.8914 0.5677  4 B 2.09-2.20
Ni 0.2156 0.2500 0.2844  4 B 2.09-2.11
Ni 0.5677 0.9243 0.1086  4 B 2.09-2.20